[1]
VASP calculation (PBE) on a relaxed structure of LiEu2Pt.

abc: 3.7011 3.7011 7.9308
angles: 90.00 90.00 90.00
With the nearest neighbours (Å) after each atom.
Sites, in units of the cell vectors:
Eu: 0.0000 0.0000 0.7885  4 Pt 3.11, 1 Eu 3.35, 4 Li 3.48
Eu: 0.0000 0.0000 0.2115  4 Pt 3.11, 1 Eu 3.35, 4 Li 3.48
Pt: 0.5000 0.5000 0.0000  8 Eu 3.11
Li: 0.5000 0.5000 0.5000  8 Eu 3.48, 4 Li 3.70



[2]
VASP calculation (PBE) on a relaxed structure of LiEu2Pt.

abc: 4.0832 4.0832 10.6254
angles: 78.92 78.92 60.00
With the nearest neighbours (Å) after each atom.
Sites, in units of the cell vectors:
Pt: 0.5000 0.5000 0.5000  6 Eu 2.90
Eu: 0.8877 0.8877 0.3370  3 Pt 2.90
Eu: 0.1123 0.1123 0.6630  3 Pt 2.90
Li: 0.0000 0.0000 0.0000  2 Eu 3.49



[3]
VASP calculation (PBE) on a relaxed structure of LiEuPt.

abc: 3.5712 3.5712 5.5503
angles: 108.77 108.77 90.00
With the nearest neighbours (Å) after each atom.
Sites, in units of the cell vectors:
Li: 0.6552 0.6552 0.3103  4 Pt 2.72, 1 Eu 2.79
Pt: 0.2578 0.2578 0.5156  4 Li 2.72
Eu: 0.9371 0.9371 0.8741  1 Li 2.79, 4 Pt 3.09

Values from the calculation:
Energy above the lowest structure with this stoichiometry in meV per atom: 102



[4]
VASP calculation (PBE) on a relaxed structure of LiEu3Pt.

abc: 5.7735 5.7735 5.7735
angles: 90.00 90.00 90.00
With the nearest neighbours (Å) after each atom.
Sites, in units of the cell vectors:
Pt: 0.0000 0.0000 0.0000  6 Eu 2.89
Eu: 0.5000 0.0000 0.0000  2 Pt 2.89
Eu: 0.0000 0.5000 0.0000  2 Pt 2.89
Eu: 0.0000 0.0000 0.5000  2 Pt 2.89
Li: 0.5000 0.5000 0.5000  12 Eu 4.08



Number 1: ΔH_f (0 K) -47 kJ/mol of atoms, density 7.7 g cm⁻³. Number 2: ΔH_f (0 K) -33 kJ/mol of atoms, density 5.6 g cm⁻³. Number 3: ΔH_f (0 K) -50 kJ/mol of atoms, density 9.3 g cm⁻³. Number 4: ΔH_f (0 K) -37 kJ/mol of atoms, density 5.7 g cm⁻³.